Model w:
## ZnIn2As2 (GGA-PBE)

Data for a relaxed ZnIn2As2 crystal.

Lattice parameters (Å, degrees): 7.907 7.907 3.662 90.00 90.00 90.00
Fractional coordinates of all 10 atoms:
As1 0.145 0.645 0.500
As2 0.645 0.855 0.500
As3 0.855 0.355 0.500
As4 0.355 0.145 0.500
Zn1 0.000 0.000 0.000
Zn2 0.500 0.500 0.000
In1 0.348 0.848 0.000
In2 0.848 0.652 0.000
In3 0.652 0.152 0.000
In4 0.152 0.348 0.000

- symmetry = No. 127
- spin magnetization (μB per formula unit) = 0.00

=====

Model x:
## ZnIn2As2 (GGA-PBE)

Data for a relaxed ZnIn2As2 crystal.

Lattice parameters (Å, degrees): 4.728 4.728 6.817 69.71 69.71 90.00
Fractional coordinates of all 5 atoms:
As1 0.381 0.381 0.238
As2 0.619 0.619 0.762
Zn1 0.000 0.000 0.000
In1 0.750 0.250 0.500
In2 0.250 0.750 0.500

- symmetry = No. 139
- spin magnetization (μB per formula unit) = 0.00

=====

Energy above the most stable structure, in kJ/mol of atoms: model w 3.7; model x 0.0